VASP calculation (PBE-GGA) on crystalline Cs2LaTmO4 at its relaxed geometry.

## Properties
Symmetry   P-3m1 (164)
Electronic total energy   -51.59 eV/cell
Magnetization   0.01 μB per cell

abc: 3.6154 3.6154 13.6032
angles: 90.00 90.00 120.00
Closest atoms and distances in Å follow each position.
Sites, in units of the cell vectors:
Cs  0.3333  0.6667  0.2441  6 O 3.07-3.08
Cs  0.6667  0.3333  0.7559  6 O 3.07-3.08
La  0.0000  0.0000  0.5000  6 O 2.42
Tm  0.0000  0.0000  0.0000  6 O 2.34
O  0.3333  0.6667  0.5905  3 La 2.42
O  0.3333  0.6667  0.9222  3 Tm 2.34
O  0.6667  0.3333  0.0778  3 Tm 2.34
O  0.6667  0.3333  0.4095  3 La 2.42